*one*
## Bi2BrF (PBE)

Data for Bi2BrF after structural relaxation.

Computed properties:
Space-group type   I-42d (122)
Spin magnetization   0.000 μB/atom

a b c (Å): 4.831 4.831 10.058
angles (deg): 76.10 76.10 90.00
Fractional coordinates of all 8 atoms:
Br 0.000 0.000 0.000
Bi 0.176 0.625 0.250
Br 0.750 0.250 0.500
F 0.250 0.750 0.500
Bi 0.375 0.426 0.750
Bi 0.875 0.824 0.750
F 0.500 0.500 0.000
Bi 0.574 0.125 0.250



*two*
## Bi2BrF (PBE)

Data for Bi2BrF after structural relaxation.

Computed properties:
Space-group type   Fm-3m (225)
Spin magnetization   0.000 μB/atom

a b c (Å): 5.162 5.162 5.162
angles (deg): 60.00 60.00 60.00
Fractional coordinates of all 4 atoms:
Bi 0.250 0.250 0.250
F 0.000 0.000 0.000
Bi 0.750 0.750 0.750
Br 0.500 0.500 0.500



Most stable structure - *one*; separation to the second - 393 meV/atom.



*one*
## InBiBr2F (PBE)

Data for InBiBr2F after structural relaxation.

Computed properties:
Space-group type   P4/mmm (123)
Spin magnetization   0.155 μB/atom

a b c (Å): 5.301 6.185 5.301
angles (deg): 90.00 90.00 90.00
Site moments in Bohr magnetons follow the coordinates.
Fractional coordinates of all 5 atoms:
Br 0.000 0.000 0.500  0.01
F 0.500 0.500 0.500  -0.07
Br 0.500 0.000 0.000  0.02
Bi 0.000 0.500 0.000  0.52
In 0.000 0.000 0.000  0.00



*two*
## InBiBr2F (PBE)

Data for InBiBr2F after structural relaxation.

Computed properties:
Space-group type   P4/mmm (123)
Spin magnetization   0.000 μB/atom

a b c (Å): 5.790 4.178 5.790
angles (deg): 90.00 90.00 90.00
Fractional coordinates of all 5 atoms:
In 0.000 0.500 0.000
Br 0.000 0.000 0.500
Br 0.500 0.000 0.000
Bi 0.500 0.500 0.500
F 0.000 0.000 0.000



Most stable structure - *two*; separation to the second - 209 meV/atom.



*one*
## BiBrNF2 (PBE)

Data for BiBrNF2 after structural relaxation.

Computed properties:
Space-group type   P4/mmm (123)
Spin magnetization   0.000 μB/atom

a b c (Å): 4.415 4.415 4.357
angles (deg): 90.00 90.00 90.00
Fractional coordinates of all 5 atoms:
N 0.000 0.000 0.500
F 0.000 0.500 0.000
F 0.500 0.000 0.000
Bi 0.500 0.500 0.500
Br 0.000 0.000 0.000



*two*
## BiBrNF2 (PBE)

Data for BiBrNF2 after structural relaxation.

Computed properties:
Space-group type   P4/mmm (123)
Spin magnetization   0.354 μB/atom

a b c (Å): 4.462 4.462 5.001
angles (deg): 90.00 90.00 90.00
Site moments in Bohr magnetons follow the coordinates.
Fractional coordinates of all 5 atoms:
Bi 0.000 0.000 0.000  0.03
Br 0.500 0.500 0.500  -0.04
F 0.000 0.500 0.000  0.01
N 0.000 0.000 0.500  1.24
F 0.500 0.000 0.000  0.01



Most stable structure - *two*; separation to the second - 848 meV/atom.